(1)
Material: K2BaNaBr
Method: DFT, PBE-GGA
State: optimized geometry

Calculated values
The space group is P4/mmm (123). The electronic total energy is -1.972 eV per atom. The value obtained for the raw formation energy is -550.5 meV/atom.

a = 6.5260 Å, b = 6.5260 Å, c = 6.5920 Å
α = 90.00°, β = 90.00°, γ = 90.00°
Last column: nearest neighbours and their distance in Å.
Fractional positions:
K1 0.0000 0.5000 0.0000  2 Br 3.26
K2 0.5000 0.0000 0.0000  2 Br 3.26
Ba1 0.0000 0.0000 0.5000  2 Br 3.30
Na1 0.5000 0.5000 0.5000  4 Ba 4.61, 8 K 4.64
Br1 0.0000 0.0000 0.0000  4 K 3.26, 2 Ba 3.30

---

(2)
Material: KBaNaBr4
Method: DFT, PBE-GGA
State: optimized geometry

Calculated values
The space group is Cmcm (63). The electronic total energy is -3.369 eV per atom. The value obtained for the raw formation energy is -1793.5 meV/atom.

a = 9.2540 Å, b = 9.2540 Å, c = 7.7967 Å
α = 90.00°, β = 90.00°, γ = 131.39°
Last column: nearest neighbours and their distance in Å.
Fractional positions:
K1 0.1114 0.8886 0.7500  1 Br 3.15
K2 0.8886 0.1114 0.2500  1 Br 3.15
Ba1 0.3762 0.6238 0.7500  5 Br 3.18-3.46
Ba2 0.6238 0.3762 0.2500  5 Br 3.18-3.46
Na1 0.2482 0.7518 0.2500  5 Br 2.73-2.92
Na2 0.7518 0.2482 0.7500  5 Br 2.73-2.92
Br1 0.0000 0.5000 0.0000  2 Na 2.73
Br2 0.0000 0.5000 0.5000  2 Na 2.73
Br3 0.0752 0.9248 0.2500  1 Na 2.92, 1 K 3.15
Br4 0.4352 0.5648 0.2500  1 Na 3.16, 1 Ba 3.18
Br5 0.5000 0.0000 0.0000  2 Na 2.73
Br6 0.5000 0.0000 0.5000  2 Na 2.73
Br7 0.5648 0.4352 0.7500  1 Na 3.16, 1 Ba 3.18
Br8 0.9248 0.0752 0.7500  1 Na 2.92, 1 K 3.15